(1)
This record from Alexandria via LeMat-Bulk describes an optimized crystal structure of LiAg12Pd7. The functional is PBE-GGA.

a b c (Å): 7.4546 7.4546 7.4546
angles (deg): 106.78 106.78 106.78
Positions (direct):
Li1 0.0000 0.0000 0.0000
Ag1 0.7758 0.3335 0.6303
Ag2 0.6665 0.3697 0.2242
Ag3 0.4051 0.0449 0.2994
Ag4 0.9551 0.7006 0.5949
Ag5 0.3697 0.2242 0.6665
Ag6 0.7006 0.5949 0.9551
Ag7 0.2994 0.4051 0.0449
Ag8 0.6303 0.7758 0.3335
Ag9 0.0449 0.2994 0.4051
Ag10 0.5949 0.9551 0.7006
Ag11 0.3335 0.6303 0.7758
Ag12 0.2242 0.6665 0.3697
Pd1 0.0978 0.6814 0.9860
Pd2 0.3186 0.0140 0.9022
Pd3 0.0140 0.9022 0.3186
Pd4 0.5000 0.5000 0.5000
Pd5 0.9860 0.0978 0.6814
Pd6 0.6814 0.9860 0.0978
Pd7 0.9022 0.3186 0.0140

Calculated values
* magnetization: 0.0 μB/f.u.
* uncorrected energy: -72.39 eV per formula unit
* formation energy from the elements: 0.004 eV per atom



(2)
This record from Alexandria via LeMat-Bulk describes an optimized crystal structure of Li4Ag4Pd. The functional is PBE-GGA.

a b c (Å): 4.0000 6.3439 6.3439
angles (deg): 84.30 71.62 71.62
Positions (direct):
Li1 0.3390 0.3220 0.0000
Li2 0.6610 0.6780 0.0000
Li3 0.6610 0.0000 0.6780
Li4 0.3390 0.0000 0.3220
Ag1 0.0000 0.6739 0.3260
Ag2 0.0000 0.3261 0.6740
Ag3 0.6740 0.3260 0.3261
Ag4 0.3260 0.6740 0.6739
Pd1 0.0000 0.0000 0.0000

Calculated values
* magnetization: 0.0 μB/f.u.
* polymorph energy (0 for the lowest one): 0.0 meV/atom
* uncorrected energy: -26.40 eV per formula unit
* formation energy from the elements: -0.239 eV per atom



(3)
This record from Alexandria via LeMat-Bulk describes an optimized crystal structure of LiAg6Pd3. The functional is PBE-GGA.

a b c (Å): 4.4891 8.5862 9.3048
angles (deg): 90.00 90.00 89.95
Positions (direct):
Li1 0.5000 0.5000 0.5000
Li2 0.0000 0.0000 0.0000
Ag1 0.4962 0.0524 0.8155
Ag2 0.4969 0.4443 0.8199
Ag3 0.4948 0.7413 0.6565
Ag4 0.5052 0.2587 0.3435
Ag5 0.5031 0.5557 0.1801
Ag6 0.5038 0.9476 0.1845
Ag7 0.9962 0.5524 0.6845
Ag8 0.9969 0.9443 0.6801
Ag9 0.9948 0.2413 0.8435
Ag10 0.0052 0.7587 0.1565
Ag11 0.0031 0.0557 0.3199
Ag12 0.0038 0.4476 0.3155
Pd1 0.4893 0.2491 0.0516
Pd2 0.5000 0.0000 0.5000
Pd3 0.5107 0.7509 0.9484
Pd4 0.9893 0.7491 0.4484
Pd5 0.0000 0.5000 0.0000
Pd6 0.0107 0.2509 0.5516

Calculated values
* magnetization: 0.0 μB/f.u.
* polymorph energy (0 for the lowest one): 115.6 meV/atom
* uncorrected energy: -34.02 eV per formula unit
* formation energy from the elements: 0.058 eV per atom



(4)
This record from Alexandria via LeMat-Bulk describes an optimized crystal structure of Li3Ag2Pd3. The functional is PBE-GGA.

a b c (Å): 4.9539 4.9539 4.9539
angles (deg): 89.17 89.17 90.83
Positions (direct):
Li1 0.2693 0.7307 0.0000
Li2 0.0000 0.2693 0.2693
Li3 0.7307 0.0000 0.7307
Ag1 0.2360 0.2360 0.7640
Ag2 0.7640 0.7640 0.2360
Pd1 0.2562 0.7438 0.5000
Pd2 0.5000 0.2562 0.2562
Pd3 0.7438 0.5000 0.7438

Calculated values
* magnetization: 0.0 μB/f.u.
* polymorph energy (0 for the lowest one): 14.3 meV/atom
* uncorrected energy: -29.31 eV per formula unit
* formation energy from the elements: -0.286 eV per atom



(5)
This record from Alexandria via LeMat-Bulk describes an optimized crystal structure of Li8AgPd6. The functional is PBE-GGA.

a b c (Å): 2.8312 9.8618 9.8618
angles (deg): 120.00 90.00 90.00
Positions (direct):
Li1 0.7939 0.6771 0.9185
Li2 0.7939 0.0815 0.7586
Li3 0.7939 0.2414 0.3229
Li4 0.2061 0.3229 0.0815
Li5 0.2061 0.9185 0.2414
Li6 0.2061 0.7586 0.6771
Li7 0.7591 0.6667 0.3333
Li8 0.2409 0.3333 0.6667
Ag1 0.5000 0.0000 0.0000
Pd1 0.7387 0.5128 0.6226
Pd2 0.7387 0.3774 0.8901
Pd3 0.7387 0.1099 0.4872
Pd4 0.2613 0.4872 0.3774
Pd5 0.2613 0.6226 0.1099
Pd6 0.2613 0.8901 0.5128

Calculated values
* magnetization: 0.0 μB/f.u.
* uncorrected energy: -52.90 eV per formula unit
* formation energy from the elements: -0.239 eV per atom



(6)
This record from Alexandria via LeMat-Bulk describes an optimized crystal structure of LiAg4Pd. The functional is PBE-GGA.

a b c (Å): 5.0236 7.1817 7.0088
angles (deg): 113.14 100.82 109.46
Positions (direct):
Li1 0.2548 0.0048 0.0096
Li2 0.7452 0.9952 0.9904
Ag1 0.0508 0.1819 0.7796
Ag2 0.7596 0.7067 0.6201
Ag3 0.2288 0.5977 0.7796
Ag4 0.3605 0.9134 0.6201
Ag5 0.6395 0.0866 0.3799
Ag6 0.7712 0.4023 0.2204
Ag7 0.2404 0.2933 0.3799
Ag8 0.9492 0.8181 0.2204
Pd1 0.3422 0.5922 0.1844
Pd2 0.6578 0.4078 0.8156

Calculated values
* magnetization: 0.0 μB/f.u.
* polymorph energy (0 for the lowest one): 119.1 meV/atom
* uncorrected energy: -18.58 eV per formula unit
* formation energy from the elements: -0.011 eV per atom



(7)
This record from Alexandria via LeMat-Bulk describes an optimized crystal structure of Li5Ag3Pd3. The functional is PBE-GGA.

a b c (Å): 2.8065 8.9408 8.9408
angles (deg): 120.00 90.00 90.00
Positions (direct):
Li1 0.5000 0.6667 0.3333
Li2 0.5000 0.3333 0.6667
Li3 0.5000 0.3149 0.0000
Li4 0.5000 0.6851 0.6851
Li5 0.5000 0.0000 0.3149
Ag1 0.0000 0.5686 0.0000
Ag2 0.0000 0.0000 0.5686
Ag3 0.0000 0.4314 0.4314
Pd1 0.5000 0.8278 0.0000
Pd2 0.5000 0.1722 0.1722
Pd3 0.5000 0.0000 0.8278

Calculated values
* magnetization: 0.0 μB/f.u.
* polymorph energy (0 for the lowest one): 0.0 meV/atom
* uncorrected energy: -34.67 eV per formula unit
* formation energy from the elements: -0.088 eV per atom



(8)
This record from Alexandria via LeMat-Bulk describes an optimized crystal structure of Li5Ag8Pd. The functional is PBE-GGA.

a b c (Å): 6.7677 6.7677 6.7677
angles (deg): 109.35 109.72 109.35
Positions (direct):
Li1 0.0378 0.3505 0.1323
Li2 0.8677 0.9055 0.2182
Li3 0.7818 0.6495 0.6874
Li4 0.5000 0.0000 0.5000
Li5 0.3126 0.0945 0.9622
Ag1 0.1507 0.7452 0.0745
Ag2 0.9255 0.0762 0.6708
Ag3 0.7488 0.2646 0.3453
Ag4 0.6547 0.4035 0.9192
Ag5 0.5158 0.5965 0.2512
Ag6 0.5945 0.9238 0.8493
Ag7 0.3292 0.2548 0.4055
Ag8 0.0808 0.7354 0.4842
Pd1 0.2500 0.5000 0.7500

Calculated values
* magnetization: 0.0 μB/f.u.
* uncorrected energy: -38.63 eV per formula unit
* formation energy from the elements: -0.075 eV per atom